Computed, not measured: LiAcZnPd2 after structural relaxation at the GGA-PBE level of DFT.

Properties
Spin magnetization: 0.00 μB per cell
Formation energy from the elements: -0.641 eV/atom

The structure in extended XYZ format:
```
10
Lattice="4.1674 0.0000 0.0000 0.0000 4.1674 0.0000 0.0000 0.0000 11.8175" Properties=species:S:1:pos:R:3 pbc="T T T"
Li 0.0000 0.0000 0.0000
Li 2.0837 2.0837 5.9087
Ac 0.0000 2.0837 2.9544
Ac 2.0837 0.0000 8.8631
Zn 0.0000 0.0000 5.9087
Zn 2.0837 2.0837 0.0000
Pd 0.0000 2.0837 7.4858
Pd 0.0000 2.0837 10.2404
Pd 2.0837 0.0000 1.5771
Pd 2.0837 0.0000 4.3317
```


Computed, not measured: LiAc3Zn2Pd9 after structural relaxation at the GGA-PBE level of DFT.

Properties
Spin magnetization: 0.00 μB per cell
Formation energy from the elements: -0.510 eV/atom

The structure in extended XYZ format:
```
15
Lattice="7.0627 0.0000 0.0000 -3.5313 6.1165 0.0000 0.0000 0.0000 7.2024" Properties=species:S:1:pos:R:3 pbc="T T T"
Li 0.0000 0.0000 0.0000
Ac 0.0000 0.0000 3.6012
Ac 0.0000 4.0776 1.1920
Ac 3.5313 2.0388 6.0104
Zn 0.0000 4.0776 4.9552
Zn 3.5313 2.0388 2.2472
Pd -1.7657 3.0582 3.6012
Pd 0.0000 1.8966 6.0051
Pd -1.8888 5.1681 6.0051
Pd 1.6425 0.9483 1.1973
Pd 3.5313 0.0000 3.6012
Pd 1.7657 3.0582 3.6012
Pd 1.8888 5.1681 6.0051
Pd 5.4201 0.9483 1.1973
Pd 3.5313 4.2198 1.1973
```


Computed, not measured: LiAcPm2 after structural relaxation at the GGA-PBE level of DFT.

Properties
Spin magnetization: 0.00 μB per cell
Formation energy from the elements: 0.291 eV/atom
Offset from the most stable computed form: 214 meV per atom

The structure in extended XYZ format:
```
12
Lattice="3.5709 0.0000 0.0000 -1.7854 3.0925 0.0000 0.0000 0.0000 37.4351" Properties=species:S:1:pos:R:3 pbc="T T T"
Li 0.0000 0.0000 0.0000
Li 0.0000 2.0616 24.9567
Li 1.7854 1.0308 12.4783
Ac 0.0000 0.0000 18.7175
Ac 0.0000 2.0616 6.2392
Ac 1.7854 1.0308 31.1959
Pm 0.0000 0.0000 15.1643
Pm 0.0000 0.0000 22.2707
Pm 0.0000 2.0616 2.6860
Pm 0.0000 2.0616 9.7924
Pm 1.7854 1.0308 27.6427
Pm 1.7854 1.0308 34.7491
```


Computed, not measured: LiAcPm2 after structural relaxation at the GGA-PBE level of DFT.

Properties
Spin magnetization: 0.00 μB per cell
Formation energy from the elements: 0.150 eV/atom
Offset from the most stable computed form: 72 meV per atom

The structure in extended XYZ format:
```
12
Lattice="3.6983 0.0000 0.0000 -1.8491 3.2028 0.0000 0.0000 0.0000 35.0248" Properties=species:S:1:pos:R:3 pbc="T T T"
Li 0.0000 0.0000 0.0000
Li 0.0000 2.1352 23.3499
Li 1.8491 1.0676 11.6749
Ac 0.0000 0.0000 5.8369
Ac 0.0000 2.1352 29.1868
Ac 1.8491 1.0676 17.5118
Pm 0.0000 0.0000 14.3531
Pm 0.0000 0.0000 20.6577
Pm 0.0000 2.1352 2.6782
Pm 0.0000 2.1352 8.9828
Pm 1.8491 1.0676 26.0280
Pm 1.8491 1.0676 32.3326
```